## Ho8C3Se4N (GGA-PBE)

Data for Ho8C3Se4N after structural relaxation.

Lattice parameters (Å, degrees): 7.8096 7.8096 7.8096 56.92 56.92 56.92
Fractional positions:
Ho 0.2324 0.7344 0.7344
Ho 0.2349 0.2349 0.2349
Ho 0.2656 0.2656 0.7676
Ho 0.2656 0.7676 0.2656
Ho 0.7344 0.2324 0.7344
Ho 0.7344 0.7344 0.2324
Ho 0.7651 0.7651 0.7651
Ho 0.7676 0.2656 0.2656
C 0.0000 0.0000 0.5000
C 0.0000 0.5000 0.0000
C 0.5000 0.0000 0.0000
Se 0.0000 0.0000 0.0000
Se 0.0000 0.5000 0.5000
Se 0.5000 0.0000 0.5000
Se 0.5000 0.5000 0.0000
N 0.5000 0.5000 0.5000

- Raw total energy: -6.741 eV/atom
- Space group: R-3m (166)
- D(E_F): 2.72 states/eV per cell
- Uncorrected formation energy: -1.331 eV per atom